This record from Alexandria via LeMat-Bulk describes crystalline Zn3Fe at its relaxed geometry. The functional is PBEsol.

Cell: 4.558 4.558 4.552 Å, 101.18 101.18 33.32°
Fractional positions:
Zn1 0.000 0.000 0.000
Zn2 0.247 0.247 0.739
Zn3 0.753 0.753 0.261
Fe1 0.500 0.500 0.500

Summary:
The calculation puts the formation energy from the elements at 0.04 eV per atom. The symmetry is C2/m, No. 12.